Si4PtRh | the Alexandria database | PBEsol | optimized geometry; E_form (uncorrected) = 0.237 eV/atom; total DFT energy (no corrections) = -36.67 eV per cell; density = 8.26 g cm⁻³; D(E_F) = 2.9 states/eV/cell; space group = F-43m, No. 216; spin magnetization = 0.00 μB per cell
1.0
4.887 0.000 0.000
2.443 4.232 0.000
2.443 1.411 3.990
Si Rh Pt
4 1 1
direct
0.625 0.625 0.625
0.124 0.625 0.625
0.625 0.625 0.124
0.625 0.124 0.625
0.000 0.000 0.000
0.250 0.250 0.250

=====

SrUO4 | the Alexandria database | PBEsol | optimized geometry; E_form (uncorrected) = -3.194 eV/atom; total DFT energy (no corrections) = -216.64 eV per cell; density = 7.35 g cm⁻³; D(E_F) = 0.0 states/eV/cell; space group = Pbcm, No. 57; spin magnetization = 0.00 μB per cell
1.0
5.511 0.000 0.000
0.000 7.910 0.000
0.000 0.000 8.083
U Sr O
4 4 16
direct
0.000 0.500 0.000
0.000 0.000 0.500
0.000 0.000 0.000
0.000 0.500 0.500
0.479 0.196 0.250
0.521 0.804 0.750
0.479 0.304 0.750
0.521 0.696 0.250
0.305 0.581 0.580
0.305 0.919 0.080
0.695 0.419 0.080
0.305 0.919 0.420
0.695 0.419 0.420
0.134 0.534 0.250
0.170 0.250 0.500
0.305 0.581 0.920
0.866 0.034 0.250
0.830 0.750 0.500
0.866 0.466 0.750
0.170 0.250 0.000
0.695 0.081 0.580
0.695 0.081 0.920
0.134 0.966 0.750
0.830 0.750 0.000

=====

KCa2Y | the Alexandria database | PBEsol | optimized geometry; total DFT energy (no corrections) = -11.53 eV per cell; density = 2.10 g cm⁻³; D(E_F) = 6.4 states/eV/cell; energy of formation = 173 meV per atom; energy above the most stable polymorph in this dataset = 0.00 eV/f.u.; space group = R-3m, No. 166; spin magnetization = 0.48 μB per cell
1.0
3.788 0.000 0.000
1.894 3.281 0.000
1.894 1.094 13.267
Ca Y K
2 1 1
direct
0.740 0.740 0.779
0.260 0.260 0.221
0.000 0.000 0.000
0.500 0.500 0.500

=====

CdSeN2F | the Alexandria database | PBEsol | optimized geometry; E_form (uncorrected) = 0.688 eV/atom; total DFT energy (no corrections) = -20.59 eV per cell; density = 6.40 g cm⁻³; D(E_F) = 1.5 states/eV/cell; space group = P4/mmm, No. 123; spin magnetization = 0.00 μB per cell
1.0
3.883 0.000 0.000
0.000 3.883 0.000
0.000 0.000 4.102
N F Se Cd
2 1 1 1
direct
0.000 0.500 0.000
0.500 0.000 0.000
0.000 0.000 0.500
0.000 0.000 0.000
0.500 0.500 0.500

=====

Number 1 is which compound?
Si4PtRh

=====

Among the records above, which one has the highest spin magnetization?
KCa2Y